Entry 1:
A geometry-optimized Ti2AlCoS structure, computed with PBE.

Cell lengths 4.451, 4.451, 4.109 Å; angles 90.00, 90.00, 90.00 degrees
Element x y z (fractional)
Ti: 0.000 0.500 0.000
Ti: 0.500 0.000 0.000
Al: 0.000 0.000 0.500
Co: 0.500 0.500 0.500
S: 0.500 0.500 0.000

Output
The uncorrected formation energy is -1.60 eV per formula unit.

Entry 2:
A geometry-optimized SmTmAlCo structure, computed with PBE.

Cell lengths 7.042, 7.042, 7.042 Å; angles 90.00, 90.00, 90.00 degrees
Element x y z (fractional)
Sm: 0.000 0.000 0.000
Sm: 0.000 0.500 0.500
Sm: 0.500 0.000 0.500
Sm: 0.500 0.500 0.000
Tm: 0.000 0.000 0.500
Tm: 0.000 0.500 0.000
Tm: 0.500 0.000 0.000
Tm: 0.500 0.500 0.500
Al: 0.250 0.250 0.750
Al: 0.250 0.750 0.250
Al: 0.750 0.250 0.250
Al: 0.750 0.750 0.750
Co: 0.250 0.250 0.250
Co: 0.250 0.750 0.750
Co: 0.750 0.250 0.750
Co: 0.750 0.750 0.250

Output
The calculation puts the formation energy from the elements at -4.03 kcal/mol of atoms.

Entry 3:
A geometry-optimized Mg4AgPd3 structure, computed with PBE.

Cell lengths 7.877, 7.877, 7.877 Å; angles 33.64, 33.64, 33.64 degrees
Element x y z (fractional)
Mg: 0.122 0.122 0.122
Mg: 0.372 0.372 0.372
Mg: 0.628 0.628 0.628
Mg: 0.878 0.878 0.878
Ag: 0.500 0.500 0.500
Pd: 0.000 0.000 0.000
Pd: 0.249 0.249 0.249
Pd: 0.751 0.751 0.751

Output
The calculation puts the formation energy from the elements at -14.04 kcal/mol of atoms.

Entry 4:
A geometry-optimized DyBeCd structure, computed with PBE.

Cell lengths 4.802, 15.387, 3.343 Å; angles 90.00, 90.00, 90.00 degrees
Element x y z (fractional)
Dy: 0.000 0.090 0.250
Dy: 0.000 0.910 0.750
Dy: 0.500 0.410 0.750
Dy: 0.500 0.590 0.250
Be: 0.000 0.453 0.250
Be: 0.000 0.547 0.750
Be: 0.500 0.047 0.750
Be: 0.500 0.953 0.250
Cd: 0.000 0.284 0.750
Cd: 0.000 0.716 0.250
Cd: 0.500 0.216 0.250
Cd: 0.500 0.784 0.750

Output
The calculation puts the formation energy from the elements at 2.38 kcal/mol of atoms.

Entry 5:
A geometry-optimized Tb2Si4MoPt3 structure, computed with PBE.

Cell lengths 4.203, 4.203, 9.976 Å; angles 90.00, 90.00, 90.00 degrees
Element x y z (fractional)
Tb: 0.000 0.500 0.243
Tb: 0.500 0.000 0.757
Si: 0.000 0.000 0.000
Si: 0.000 0.500 0.633
Si: 0.500 0.000 0.367
Si: 0.500 0.500 0.000
Mo: 0.000 0.000 0.500
Pt: 0.000 0.500 0.877
Pt: 0.500 0.000 0.123
Pt: 0.500 0.500 0.500

Output
The uncorrected formation energy is -9.61 eV per formula unit.

Entry 6:
A geometry-optimized Pr15Er4Tl structure, computed with PBE.

Cell lengths 5.139, 5.139, 25.905 Å; angles 90.00, 90.00, 90.00 degrees
Element x y z (fractional)
Pr: 0.000 0.000 0.000
Pr: 0.000 0.000 0.198
Pr: 0.000 0.000 0.399
Pr: 0.000 0.000 0.601
Pr: 0.000 0.000 0.802
Pr: 0.000 0.500 0.098
Pr: 0.000 0.500 0.299
Pr: 0.000 0.500 0.500
Pr: 0.000 0.500 0.701
Pr: 0.000 0.500 0.902
Pr: 0.500 0.000 0.098
Pr: 0.500 0.000 0.299
Pr: 0.500 0.000 0.500
Pr: 0.500 0.000 0.701
Pr: 0.500 0.000 0.902
Er: 0.500 0.500 0.199
Er: 0.500 0.500 0.400
Er: 0.500 0.500 0.600
Er: 0.500 0.500 0.801
Tl: 0.500 0.500 0.000

Output
The calculation puts the formation energy from the elements at -0.61 kcal/mol of atoms.

Entry 7:
A geometry-optimized SmMg4Cd8 structure, computed with PBE.

Cell lengths 7.590, 7.590, 7.590 Å; angles 99.13, 99.13, 133.06 degrees
Element x y z (fractional)
Sm: 0.000 0.000 0.000
Mg: 0.000 0.000 0.500
Mg: 0.000 0.500 0.000
Mg: 0.500 0.000 0.000
Mg: 0.500 0.500 0.500
Cd: 0.000 0.346 0.346
Cd: 0.000 0.654 0.654
Cd: 0.284 0.500 0.784
Cd: 0.346 0.000 0.346
Cd: 0.500 0.284 0.784
Cd: 0.500 0.716 0.216
Cd: 0.654 0.000 0.654
Cd: 0.716 0.500 0.216

Output
The calculation puts the formation energy from the elements at -3.91 kcal/mol of atoms.

Entry 8:
A geometry-optimized RuRhAu3 structure, computed with PBE.

Cell lengths 4.960, 4.960, 4.960 Å; angles 90.00, 90.00, 90.00 degrees
Element x y z (fractional)
Ru: 0.000 0.000 0.000
Rh: 0.500 0.500 0.500
Au: 0.000 0.000 0.500
Au: 0.000 0.500 0.000
Au: 0.500 0.000 0.000

Output
The calculation puts the formation energy from the elements at 35.71 kcal/mol of atoms.